--- one ---
Entry from Alexandria via LeMat-Bulk: a geometry-optimized CaLaTa2 structure (PBE-GGA).

* symmetry: P4/mmm, No. 123
* V: 23.95 Å³ per atom

```
CaLaTa2
1.0
3.0080 0.0000 0.0000
0.0000 3.0080 0.0000
0.0000 0.0000 10.5904
Ca La Ta
1 1 2
direct
0.0000 0.0000 0.0000 Ca
0.0000 0.0000 0.5000 La
0.5000 0.5000 0.2534 Ta
0.5000 0.5000 0.7466 Ta
```

---

--- two ---
Entry from Alexandria via LeMat-Bulk: a geometry-optimized CaLaTa2 structure (PBE-GGA).

* symmetry: Cmm2, No. 35
* V: 25.37 Å³ per atom

```
CaLaTa2
1.0
3.5380 0.0000 0.0000
0.0000 5.2449 0.0000
0.0000 0.0000 10.9353
Ca La Ta
2 2 4
direct
0.0000 0.0000 0.0000 Ca
0.5000 0.5000 0.0000 Ca
0.0000 0.5000 0.3220 La
0.5000 0.0000 0.3220 La
0.0000 0.0000 0.5688 Ta
0.0000 0.5000 0.7527 Ta
0.5000 0.0000 0.7527 Ta
0.5000 0.5000 0.5688 Ta
```

---

two is preferred energetically. Next in line: 265 meV/atom higher.

---

--- one ---
Entry from Alexandria via LeMat-Bulk: a geometry-optimized CaLaTa structure (PBE-GGA).

* symmetry: P3m1, No. 156
* V: 28.09 Å³ per atom

```
CaLaTa
1.0
3.3266 0.0000 0.0000
-1.6633 2.8809 0.0000
0.0000 0.0000 8.7928
Ca La Ta
1 1 1
direct
0.0000 0.0000 0.0000 Ca
0.3333 0.6667 0.4037 La
0.6667 0.3333 0.7007 Ta
```

---

--- two ---
Entry from Alexandria via LeMat-Bulk: a geometry-optimized CaLaTa structure (PBE-GGA).

* symmetry: Imm2, No. 44
* V: 28.25 Å³ per atom

```
CaLaTa
1.0
3.2004 0.0000 0.0000
0.0000 4.8736 0.0000
0.0000 0.0000 10.8690
Ca La Ta
2 2 2
direct
0.0000 0.0000 0.0000 Ca
0.5000 0.5000 0.5000 Ca
0.0000 0.0000 0.7023 La
0.5000 0.5000 0.2023 La
0.0000 0.0000 0.3199 Ta
0.5000 0.5000 0.8199 Ta
```

---

one is preferred energetically. Next in line: 26 meV/atom higher.

---

--- one ---
Entry from Alexandria via LeMat-Bulk: a geometry-optimized CaLaTa structure (PBE-GGA).

* symmetry: F-43m, No. 216
* V: 31.60 Å³ per atom

```
CaLaTa
1.0
7.2379 0.0000 0.0000
0.0000 7.2379 0.0000
0.0000 0.0000 7.2379
Ca La Ta
4 4 4
direct
0.0000 0.0000 0.0000 Ca
0.0000 0.5000 0.5000 Ca
0.5000 0.0000 0.5000 Ca
0.5000 0.5000 0.0000 Ca
0.2500 0.2500 0.7500 La
0.2500 0.7500 0.2500 La
0.7500 0.2500 0.2500 La
0.7500 0.7500 0.7500 La
0.0000 0.0000 0.5000 Ta
0.0000 0.5000 0.0000 Ta
0.5000 0.0000 0.0000 Ta
0.5000 0.5000 0.5000 Ta
```

---

--- two ---
Entry from Alexandria via LeMat-Bulk: a geometry-optimized CaLaTa structure (PBE-GGA).

* symmetry: P-6m2, No. 187
* V: 26.49 Å³ per atom

```
CaLaTa
1.0
5.5473 0.0000 0.0000
-2.7736 4.8041 0.0000
0.0000 0.0000 2.9824
Ca La Ta
1 1 1
direct
0.0000 0.0000 0.0000 Ca
0.3333 0.6667 0.0000 La
0.6667 0.3333 0.5000 Ta
```

---

--- three ---
Entry from Alexandria via LeMat-Bulk: a geometry-optimized CaLaTa structure (PBE-GGA).

* symmetry: F-43m, No. 216
* V: 33.56 Å³ per atom

```
CaLaTa
1.0
7.3849 0.0000 0.0000
0.0000 7.3849 0.0000
0.0000 0.0000 7.3849
Ca La Ta
4 4 4
direct
0.0000 0.0000 0.0000 Ca
0.0000 0.5000 0.5000 Ca
0.5000 0.0000 0.5000 Ca
0.5000 0.5000 0.0000 Ca
0.0000 0.0000 0.5000 La
0.0000 0.5000 0.0000 La
0.5000 0.0000 0.0000 La
0.5000 0.5000 0.5000 La
0.2500 0.2500 0.2500 Ta
0.2500 0.7500 0.7500 Ta
0.7500 0.2500 0.7500 Ta
0.7500 0.7500 0.2500 Ta
```

---

two is preferred energetically. Next in line: 480 meV/atom higher.

---

--- one ---
Entry from Alexandria via LeMat-Bulk: a geometry-optimized Ca2LaTa structure (PBE-GGA).

* symmetry: P4/mmm, No. 123
* V: 31.12 Å³ per atom

```
Ca2LaTa
1.0
4.0922 0.0000 0.0000
0.0000 4.0922 0.0000
0.0000 0.0000 7.4325
Ca La Ta
2 1 1
direct
0.0000 0.0000 0.2145 Ca
0.0000 0.0000 0.7855 Ca
0.5000 0.5000 0.5000 La
0.5000 0.5000 0.0000 Ta
```

---

--- two ---
Entry from Alexandria via LeMat-Bulk: a geometry-optimized Ca2LaTa structure (PBE-GGA).

* symmetry: I4/mmm, No. 139
* V: 30.00 Å³ per atom

```
Ca2LaTa
1.0
4.7786 0.0000 0.0000
0.0000 4.7786 0.0000
0.0000 0.0000 10.5091
Ca La Ta
4 2 2
direct
0.0000 0.5000 0.2500 Ca
0.0000 0.5000 0.7500 Ca
0.5000 0.0000 0.2500 Ca
0.5000 0.0000 0.7500 Ca
0.0000 0.0000 0.0000 La
0.5000 0.5000 0.5000 La
0.0000 0.0000 0.5000 Ta
0.5000 0.5000 0.0000 Ta
```

---

--- three ---
Entry from Alexandria via LeMat-Bulk: a geometry-optimized Ca2LaTa structure (PBE-GGA).

* symmetry: Cm, No. 8
* V: 30.29 Å³ per atom

```
Ca2LaTa
1.0
10.7979 0.0000 0.0000
0.0000 3.3389 0.0000
-0.7285 0.0000 6.7205
Ca La Ta
4 2 2
direct
0.0000 0.0000 0.0000 Ca
0.2384 0.0000 0.7224 Ca
0.5000 0.5000 0.0000 Ca
0.7384 0.5000 0.7224 Ca
0.4785 0.0000 0.4301 La
0.9785 0.5000 0.4301 La
0.2418 0.5000 0.2722 Ta
0.7418 0.0000 0.2722 Ta
```

---

three is preferred energetically. Next in line: 90 meV/atom higher.

---

--- one ---
Entry from Alexandria via LeMat-Bulk: a geometry-optimized Ca2LaTa structure (PBE-GGA).

* symmetry: P4/mmm, No. 123
* V: 30.04 Å³ per atom

```
Ca2LaTa
1.0
4.7670 0.0000 0.0000
0.0000 4.7670 0.0000
0.0000 0.0000 5.2882
Ca La Ta
2 1 1
direct
0.0000 0.5000 0.0000 Ca
0.5000 0.0000 0.0000 Ca
0.0000 0.0000 0.5000 La
0.5000 0.5000 0.5000 Ta
```

---

--- two ---
Entry from Alexandria via LeMat-Bulk: a geometry-optimized Ca2LaTa structure (PBE-GGA).

* symmetry: C2/m, No. 12
* V: 29.79 Å³ per atom

```
Ca2LaTa
1.0
6.6263 0.0000 0.0000
0.0000 12.1718 0.0000
-1.4123 0.0000 2.9548
Ca La Ta
4 2 2
direct
0.2500 0.2500 0.0000 Ca
0.2500 0.7500 0.0000 Ca
0.7500 0.2500 0.0000 Ca
0.7500 0.7500 0.0000 Ca
0.0000 0.0000 0.5000 La
0.5000 0.5000 0.5000 La
0.0000 0.5000 0.5000 Ta
0.5000 0.0000 0.5000 Ta
```

---

two is preferred energetically. Next in line: 17 meV/atom higher.

---

--- one ---
Entry from Alexandria via LeMat-Bulk: a geometry-optimized Ca2LaTa structure (PBE-GGA).

* symmetry: I-42d, No. 122
* V: 30.89 Å³ per atom

```
Ca2LaTa
1.0
4.5401 0.0000 0.0000
0.0000 4.5401 0.0000
0.0000 0.0000 23.9761
Ca La Ta
8 4 4
direct
0.2344 0.2500 0.1250 Ca
0.2500 0.7344 0.3750 Ca
0.2500 0.7656 0.8750 Ca
0.2656 0.2500 0.6250 Ca
0.7344 0.7500 0.6250 Ca
0.7500 0.2344 0.8750 Ca
0.7500 0.2656 0.3750 Ca
0.7656 0.7500 0.1250 Ca
0.0000 0.0000 0.5000 La
0.0000 0.5000 0.7500 La
0.5000 0.0000 0.2500 La
0.5000 0.5000 0.0000 La
0.0000 0.0000 0.0000 Ta
0.0000 0.5000 0.2500 Ta
0.5000 0.0000 0.7500 Ta
0.5000 0.5000 0.5000 Ta
```

---

--- two ---
Entry from Alexandria via LeMat-Bulk: a geometry-optimized Ca2LaTa structure (PBE-GGA).

* symmetry: Fm-3m, No. 225
* V: 30.30 Å³ per atom

```
Ca2LaTa
1.0
7.8558 0.0000 0.0000
0.0000 7.8558 0.0000
0.0000 0.0000 7.8558
Ca La Ta
8 4 4
direct
0.2500 0.2500 0.2500 Ca
0.2500 0.2500 0.7500 Ca
0.2500 0.7500 0.2500 Ca
0.2500 0.7500 0.7500 Ca
0.7500 0.2500 0.2500 Ca
0.7500 0.2500 0.7500 Ca
0.7500 0.7500 0.2500 Ca
0.7500 0.7500 0.7500 Ca
0.0000 0.0000 0.0000 La
0.0000 0.5000 0.5000 La
0.5000 0.0000 0.5000 La
0.5000 0.5000 0.0000 La
0.0000 0.0000 0.5000 Ta
0.0000 0.5000 0.0000 Ta
0.5000 0.0000 0.0000 Ta
0.5000 0.5000 0.5000 Ta
```

---

two is preferred energetically. Next in line: 149 meV/atom higher.

---

--- one ---
Entry from Alexandria via LeMat-Bulk: a geometry-optimized Ca2LaTa structure (PBE-GGA).

* symmetry: F-43m, No. 216
* V: 30.63 Å³ per atom

```
Ca2LaTa
1.0
7.8843 0.0000 0.0000
0.0000 7.8843 0.0000
0.0000 0.0000 7.8843
Ca La Ta
8 4 4
direct
0.0000 0.0000 0.0000 Ca
0.0000 0.5000 0.5000 Ca
0.2500 0.2500 0.2500 Ca
0.2500 0.7500 0.7500 Ca
0.5000 0.0000 0.5000 Ca
0.5000 0.5000 0.0000 Ca
0.7500 0.2500 0.7500 Ca
0.7500 0.7500 0.2500 Ca
0.0000 0.0000 0.5000 La
0.0000 0.5000 0.0000 La
0.5000 0.0000 0.0000 La
0.5000 0.5000 0.5000 La
0.2500 0.2500 0.7500 Ta
0.2500 0.7500 0.2500 Ta
0.7500 0.2500 0.2500 Ta
0.7500 0.7500 0.7500 Ta
```

---

--- two ---
Entry from Alexandria via LeMat-Bulk: a geometry-optimized Ca2LaTa structure (PBE-GGA).

* symmetry: R-3m, No. 166
* V: 29.86 Å³ per atom

```
Ca2LaTa
1.0
3.3813 0.0000 0.0000
-1.6907 2.9283 0.0000
0.0000 0.0000 36.1840
Ca La Ta
6 3 3
direct
0.0000 0.0000 0.2385 Ca
0.0000 0.0000 0.7615 Ca
0.3333 0.6667 0.4281 Ca
0.3333 0.6667 0.9052 Ca
0.6667 0.3333 0.0948 Ca
0.6667 0.3333 0.5719 Ca
0.0000 0.0000 0.0000 La
0.3333 0.6667 0.6667 La
0.6667 0.3333 0.3333 La
0.0000 0.0000 0.5000 Ta
0.3333 0.6667 0.1667 Ta
0.6667 0.3333 0.8333 Ta
```

---

--- three ---
Entry from Alexandria via LeMat-Bulk: a geometry-optimized Ca2LaTa structure (PBE-GGA).

* symmetry: P4mm, No. 99
* V: 31.59 Å³ per atom

```
Ca2LaTa
1.0
3.3479 0.0000 0.0000
0.0000 3.3479 0.0000
0.0000 0.0000 11.2740
Ca La Ta
2 1 1
direct
0.0000 0.0000 0.0000 Ca
0.5000 0.5000 0.2897 Ca
0.0000 0.0000 0.5873 La
0.5000 0.5000 0.7878 Ta
```

---

--- four ---
Entry from Alexandria via LeMat-Bulk: a geometry-optimized Ca2LaTa structure (PBE-GGA).

* symmetry: Imm2, No. 44
* V: 32.33 Å³ per atom

```
Ca2LaTa
1.0
3.6279 0.0000 0.0000
0.0000 6.0319 0.0000
0.0000 0.0000 11.8207
Ca La Ta
4 2 2
direct
0.0000 0.0000 0.0000 Ca
0.0000 0.5000 0.2126 Ca
0.5000 0.0000 0.7126 Ca
0.5000 0.5000 0.5000 Ca
0.0000 0.5000 0.7974 La
0.5000 0.0000 0.2974 La
0.0000 0.0000 0.4896 Ta
0.5000 0.5000 0.9896 Ta
```

---

three is preferred energetically. Next in line: 112 meV/atom higher.

---

--- one ---
Entry from Alexandria via LeMat-Bulk: a geometry-optimized Ca2LaTa structure (PBE-GGA).

* symmetry: Cmmm, No. 65
* V: 29.06 Å³ per atom

```
Ca2LaTa
1.0
6.5862 0.0000 0.0000
0.0000 10.7561 0.0000
0.0000 0.0000 3.2814
Ca La Ta
4 2 2
direct
0.2500 0.2500 0.0000 Ca
0.2500 0.7500 0.0000 Ca
0.7500 0.2500 0.0000 Ca
0.7500 0.7500 0.0000 Ca
0.0000 0.0000 0.5000 La
0.5000 0.5000 0.5000 La
0.0000 0.5000 0.5000 Ta
0.5000 0.0000 0.5000 Ta
```

---

--- two ---
Entry from Alexandria via LeMat-Bulk: a geometry-optimized Ca2LaTa structure (PBE-GGA).

* symmetry: Immm, No. 71
* V: 31.78 Å³ per atom

```
Ca2LaTa
1.0
3.4173 0.0000 0.0000
0.0000 5.5634 0.0000
0.0000 0.0000 13.3734
Ca La Ta
4 2 2
direct
0.0000 0.0000 0.2019 Ca
0.0000 0.0000 0.7981 Ca
0.5000 0.5000 0.2981 Ca
0.5000 0.5000 0.7019 Ca
0.0000 0.5000 0.0000 La
0.5000 0.0000 0.5000 La
0.0000 0.5000 0.5000 Ta
0.5000 0.0000 0.0000 Ta
```

---

--- three ---
Entry from Alexandria via LeMat-Bulk: a geometry-optimized Ca2LaTa structure (PBE-GGA).

* symmetry: P4/mmm, No. 123
* V: 30.20 Å³ per atom

```
Ca2LaTa
1.0
3.2900 0.0000 0.0000
0.0000 3.2900 0.0000
0.0000 0.0000 11.1595
Ca La Ta
2 1 1
direct
0.0000 0.0000 0.2105 Ca
0.0000 0.0000 0.7895 Ca
0.5000 0.5000 0.5000 La
0.5000 0.5000 0.0000 Ta
```

---

two is preferred energetically. Next in line: 20 meV/atom higher.

---

--- one ---
Entry from Alexandria via LeMat-Bulk: a geometry-optimized Ca2LaTa structure (PBE-GGA).

* symmetry: P2/m, No. 10
* V: 29.66 Å³ per atom

```
Ca2LaTa
1.0
3.2741 0.0000 0.0000
0.0000 5.9866 0.0000
-0.4835 0.0000 6.0535
Ca La Ta
2 1 1
direct
0.2406 0.0000 0.2652 Ca
0.7594 0.0000 0.7348 Ca
0.5000 0.5000 0.0000 La
0.0000 0.5000 0.5000 Ta
```

---

--- two ---
Entry from Alexandria via LeMat-Bulk: a geometry-optimized Ca2LaTa structure (PBE-GGA).

* symmetry: Cmmm, No. 65
* V: 29.70 Å³ per atom

```
Ca2LaTa
1.0
3.5686 0.0000 0.0000
0.0000 5.4865 0.0000
0.0000 0.0000 12.1354
Ca La Ta
4 2 2
direct
0.0000 0.0000 0.2169 Ca
0.0000 0.0000 0.7831 Ca
0.5000 0.5000 0.2169 Ca
0.5000 0.5000 0.7831 Ca
0.0000 0.5000 0.5000 La
0.5000 0.0000 0.5000 La
0.0000 0.5000 0.0000 Ta
0.5000 0.0000 0.0000 Ta
```

---

two is preferred energetically. Next in line: 23 meV/atom higher.

---

--- one ---
Entry from Alexandria via LeMat-Bulk: a geometry-optimized CaLa3Ta structure (PBE-GGA).

* symmetry: Pm-3m, No. 221
* V: 34.67 Å³ per atom

```
CaLa3Ta
1.0
5.5761 0.0000 0.0000
0.0000 5.5761 0.0000
0.0000 0.0000 5.5761
Ca La Ta
1 3 1
direct
0.0000 0.0000 0.0000 Ca
0.0000 0.0000 0.5000 La
0.0000 0.5000 0.0000 La
0.5000 0.0000 0.0000 La
0.5000 0.5000 0.5000 Ta
```

---

--- two ---
Entry from Alexandria via LeMat-Bulk: a geometry-optimized CaLa3Ta structure (PBE-GGA).

* symmetry: Pm-3m, No. 221
* V: 38.85 Å³ per atom

```
CaLa3Ta
1.0
5.7915 0.0000 0.0000
0.0000 5.7915 0.0000
0.0000 0.0000 5.7915
Ca La Ta
1 3 1
direct
0.0000 0.0000 0.0000 Ca
0.0000 0.5000 0.5000 La
0.5000 0.0000 0.5000 La
0.5000 0.5000 0.0000 La
0.5000 0.5000 0.5000 Ta
```

---

two is preferred energetically. Next in line: 1193 meV/atom higher.

---

--- one ---
Entry from Alexandria via LeMat-Bulk: a geometry-optimized CaLa2Ta structure (PBE-GGA).

* symmetry: I-42d, No. 122
* V: 32.74 Å³ per atom

```
CaLa2Ta
1.0
8.8209 0.0000 0.0000
0.0000 8.8209 0.0000
0.0000 0.0000 6.7330
Ca La Ta
4 8 4
direct
0.0000 0.0000 0.0000 Ca
0.0000 0.5000 0.2500 Ca
0.5000 0.0000 0.7500 Ca
0.5000 0.5000 0.5000 Ca
0.1842 0.2500 0.6250 La
0.2500 0.6842 0.8750 La
0.2500 0.8158 0.3750 La
0.3158 0.2500 0.1250 La
0.6842 0.7500 0.1250 La
0.7500 0.1842 0.3750 La
0.7500 0.3158 0.8750 La
0.8158 0.7500 0.6250 La
0.0000 0.0000 0.5000 Ta
0.0000 0.5000 0.7500 Ta
0.5000 0.0000 0.2500 Ta
0.5000 0.5000 0.0000 Ta
```

---

--- two ---
Entry from Alexandria via LeMat-Bulk: a geometry-optimized CaLa2Ta structure (PBE-GGA).

* symmetry: F-43m, No. 216
* V: 30.53 Å³ per atom

```
CaLa2Ta
1.0
7.8754 0.0000 0.0000
0.0000 7.8754 0.0000
0.0000 0.0000 7.8754
Ca La Ta
4 8 4
direct
0.0000 0.0000 0.0000 Ca
0.0000 0.5000 0.5000 Ca
0.5000 0.0000 0.5000 Ca
0.5000 0.5000 0.0000 Ca
0.0000 0.0000 0.5000 La
0.0000 0.5000 0.0000 La
0.2500 0.2500 0.2500 La
0.2500 0.7500 0.7500 La
0.5000 0.0000 0.0000 La
0.5000 0.5000 0.5000 La
0.7500 0.2500 0.7500 La
0.7500 0.7500 0.2500 La
0.2500 0.2500 0.7500 Ta
0.2500 0.7500 0.2500 Ta
0.7500 0.2500 0.2500 Ta
0.7500 0.7500 0.7500 Ta
```

---

two is preferred energetically. Next in line: 128 meV/atom higher.

---

--- one ---
Entry from Alexandria via LeMat-Bulk: a geometry-optimized CaLa2Ta structure (PBE-GGA).

* symmetry: I-4m2, No. 119
* V: 29.56 Å³ per atom

```
CaLa2Ta
1.0
4.8715 0.0000 0.0000
0.0000 4.8715 0.0000
0.0000 0.0000 9.9644
Ca La Ta
2 4 2
direct
0.0000 0.0000 0.0000 Ca
0.5000 0.5000 0.5000 Ca
0.0000 0.0000 0.5000 La
0.0000 0.5000 0.7500 La
0.5000 0.0000 0.2500 La
0.5000 0.5000 0.0000 La
0.0000 0.5000 0.2500 Ta
0.5000 0.0000 0.7500 Ta
```

---

--- two ---
Entry from Alexandria via LeMat-Bulk: a geometry-optimized CaLa2Ta structure (PBE-GGA).

* symmetry: C2/m, No. 12
* V: 30.04 Å³ per atom

```
CaLa2Ta
1.0
10.8397 0.0000 0.0000
0.0000 3.3315 0.0000
-0.9233 0.0000 6.6540
Ca La Ta
2 4 2
direct
0.0000 0.0000 0.0000 Ca
0.5000 0.5000 0.0000 Ca
0.2339 0.0000 0.7162 La
0.2661 0.5000 0.2838 La
0.7339 0.5000 0.7162 La
0.7661 0.0000 0.2838 La
0.0000 0.5000 0.5000 Ta
0.5000 0.0000 0.5000 Ta
```

---

two is preferred energetically. Next in line: 53 meV/atom higher.